# AlCo2PbF8 GGA+U relaxed
# * magnetization: 5.000 μB/f.u.
# * final energy: -5.1137 eV per atom
data_AlCo2PbF8
_chemical_formula_sum 'Al1 Co2 Pb1 F8'
_space_group_name_H-M_alt 'P 1'
_space_group_IT_number 1
_cell_length_a 4.6191
_cell_length_b 4.6343
_cell_length_c 7.3741
_cell_angle_alpha 92.68
_cell_angle_beta 102.59
_cell_angle_gamma 91.97
loop_
_space_group_symop_operation_xyz
'x,y,z'
loop_
_atom_site_label
_atom_site_fract_x
_atom_site_fract_y
_atom_site_fract_z
_atom_site_occupancy
Al1 0.0000 0.0000 0.0000 1
Co1 0.4228 0.4646 0.7711 1
Co2 0.5772 0.5354 0.2289 1
Pb1 0.0000 0.0000 0.5000 1
F1 0.0914 0.7594 0.8181 1
F2 0.2315 0.8047 0.1837 1
F3 0.3108 0.2546 0.9886 1
F4 0.4638 0.7373 0.5874 1
F5 0.5362 0.2627 0.4126 1
F6 0.6892 0.7454 0.0114 1
F7 0.7685 0.1953 0.8163 1
F8 0.9086 0.2406 0.1819 1